# 1
! Sm3ThN3 (PBE, optimized geometry); values from VASP
! SG = Pm-3m (221)
! crystal system = cubic
&SYSTEM
  ibrav = 0, nat = 7, ntyp = 3
/
ATOMIC_SPECIES
N 14.01 N.upf
Sm 150.36 Sm.upf
Th 232.04 Th.upf
CELL_PARAMETERS angstrom
5.1040 0.0000 0.0000
0.0000 5.1040 0.0000
0.0000 0.0000 5.1040
ATOMIC_POSITIONS angstrom
N 2.5520 2.5520 0.0000
N 2.5520 0.0000 2.5520
N 0.0000 2.5520 2.5520
Sm 0.0000 0.0000 2.5520
Sm 0.0000 2.5520 0.0000
Sm 2.5520 0.0000 0.0000
Th 2.5520 2.5520 2.5520

=====

# 2
! SmTh2N3 (PBE, optimized geometry); values from VASP
! offset from the most stable computed form = 0.291 eV per atom
! SG = P6_3/mcm (193)
! crystal system = hexagonal
&SYSTEM
  ibrav = 0, nat = 12, ntyp = 3
/
ATOMIC_SPECIES
Sm 150.36 Sm.upf
N 14.01 N.upf
Th 232.04 Th.upf
CELL_PARAMETERS angstrom
6.7705 0.0000 0.0000
0.0000 5.6920 2.3412
0.0000 0.8204 6.0998
ATOMIC_POSITIONS angstrom
Sm 1.6926 3.2570 4.2199
Sm 5.0779 3.2554 4.2211
N 5.0779 0.9264 3.2612
N 5.0779 5.2530 2.6799
N 5.0779 3.5929 6.7174
N 1.6926 5.5859 5.1798
N 1.6926 1.2594 5.7611
N 1.6926 2.9194 1.7236
Th 3.3853 5.4272 7.0344
Th 3.3853 1.0852 1.4065
Th 0.0000 5.4272 7.0344
Th 0.0000 1.0852 1.4065

=====

# 3
! Sm4ThN5 (PBE, optimized geometry); values from VASP
! SG = I4/m (87)
! crystal system = tetragonal
&SYSTEM
  ibrav = 0, nat = 10, ntyp = 3
/
ATOMIC_SPECIES
N 14.01 N.upf
Sm 150.36 Sm.upf
Th 232.04 Th.upf
CELL_PARAMETERS angstrom
-0.6930 -1.6335 4.7747
4.4672 -3.8511 2.0479
2.6067 3.6492 4.3439
ATOMIC_POSITIONS angstrom
N -0.3473 -0.8186 2.3929
N 3.2113 -0.0575 8.6029
N 4.9643 -1.3497 5.6982
N 1.4151 -0.4889 5.4775
N 3.1681 -1.7810 2.5729
Sm 2.7848 -2.5444 4.9737
Sm 1.8158 0.3604 3.1097
Sm 3.5944 0.7055 6.2030
Sm 4.5634 -2.1993 8.0670
Th -0.0007 -0.0016 0.0047

=====

# 4
! SmTh6N8 (PBE, optimized geometry); values from VASP
! SG = Fm-3m (225)
! crystal system = cubic
&SYSTEM
  ibrav = 0, nat = 15, ntyp = 3
/
ATOMIC_SPECIES
N 14.01 N.upf
Th 232.04 Th.upf
Sm 150.36 Sm.upf
CELL_PARAMETERS angstrom
-4.2367 -2.2490 5.4492
-0.4681 -7.0765 1.5511
2.9867 -2.5863 6.0903
ATOMIC_POSITIONS angstrom
N -2.8854 -7.7313 6.7851
N 1.1673 -4.1804 6.3056
N -0.4295 -2.9779 3.2727
N -1.0651 -5.3654 9.1768
N -0.6531 -6.5463 3.9139
N -1.2886 -8.9338 9.8180
N -2.6387 -4.0027 5.9678
N 0.9206 -7.9091 7.1229
Th -2.1183 -1.1245 2.7246
Th -0.6250 -2.4177 5.7698
Th -0.2341 -3.5382 0.7756
Th -2.3524 -4.6627 3.5002
Th 1.4933 -1.2932 3.0452
Th 1.2593 -4.8314 3.8207
Sm 0.0000 0.0000 0.0000

=====

# 5
! SmThN (PBE, optimized geometry); values from VASP
! offset from the most stable computed form = 0.000 eV per atom
! SG = P3m1 (156)
! crystal system = trigonal
&SYSTEM
  ibrav = 0, nat = 3, ntyp = 3
/
ATOMIC_SPECIES
Th 232.04 Th.upf
Sm 150.36 Sm.upf
N 14.01 N.upf
CELL_PARAMETERS angstrom
-2.0117 -2.8809 -0.9429
2.0358 -0.1106 3.0132
-4.7531 2.2410 3.2936
ATOMIC_POSITIONS angstrom
Th -1.9527 0.2104 3.5234
Sm -0.5077 0.2394 0.3518
N -2.2685 -1.2003 1.4886

=====

# 6
! Sm2Th2N3 (PBE, optimized geometry); values from VASP
! SG = C2/m (12)
! crystal system = monoclinic
&SYSTEM
  ibrav = 0, nat = 7, ntyp = 3
/
ATOMIC_SPECIES
N 14.01 N.upf
Th 232.04 Th.upf
Sm 150.36 Sm.upf
CELL_PARAMETERS angstrom
3.7920 0.0000 -1.0943
-0.6050 5.6723 -2.0966
-0.1245 0.9966 6.6857
ATOMIC_POSITIONS angstrom
N -0.3025 2.8361 -1.0483
N 1.2340 0.8945 4.2759
N 1.8285 5.7743 -0.7810
Th 0.1402 4.7274 0.4860
Th 2.9222 1.9414 3.0089
Sm 1.9358 1.6612 -0.4092
Sm 1.1267 5.0076 3.9040

=====

# 7
! Sm4ThN4 (PBE, optimized geometry); values from VASP
! SG = I4/m (87)
! crystal system = tetragonal
&SYSTEM
  ibrav = 0, nat = 9, ntyp = 3
/
ATOMIC_SPECIES
Th 232.04 Th.upf
N 14.01 N.upf
Sm 150.36 Sm.upf
CELL_PARAMETERS angstrom
-3.4799 -3.0041 2.1806
0.9381 -0.9562 6.1161
-4.9392 3.0824 2.3005
ATOMIC_POSITIONS angstrom
Th 0.0000 0.0000 0.0000
N -3.3020 0.2550 6.9545
N -0.7274 -0.2567 4.4218
N -4.1791 -1.1329 3.6427
N -6.7537 -0.6211 6.1753
Sm -4.9496 -1.4124 7.9642
Sm -2.5842 -1.7445 5.3453
Sm -4.8968 0.8666 5.2518
Sm -2.5315 0.5346 2.6330

=====

# 8
! Sm2Th3N4 (PBE, optimized geometry); values from VASP
! SG = C2/m (12)
! crystal system = monoclinic
&SYSTEM
  ibrav = 0, nat = 9, ntyp = 3
/
ATOMIC_SPECIES
N 14.01 N.upf
Sm 150.36 Sm.upf
Th 232.04 Th.upf
CELL_PARAMETERS angstrom
3.5320 0.0000 0.8688
1.5704 6.0672 1.2297
-0.1147 0.5085 8.0799
ATOMIC_POSITIONS angstrom
N 2.9465 0.8447 3.2491
N 2.0412 5.7311 6.9293
N 1.7734 2.2851 8.0179
N 3.2143 4.2907 2.1605
Sm 2.3505 1.3470 5.6719
Sm 2.6372 5.2287 4.5065
Th 1.3160 2.5324 2.2637
Th 3.6717 4.0434 7.9147
Th 0.0000 0.0000 0.0000

=====

# 9
! Sm3Th5N8 (PBE, optimized geometry); values from VASP
! SG = R-3m (166)
! crystal system = trigonal
&SYSTEM
  ibrav = 0, nat = 16, ntyp = 3
/
ATOMIC_SPECIES
N 14.01 N.upf
Sm 150.36 Sm.upf
Th 232.04 Th.upf
CELL_PARAMETERS angstrom
6.3178 0.0000 3.6189
2.1224 5.9506 3.6189
0.0328 0.0231 7.2669
ATOMIC_POSITIONS angstrom
N 5.2866 1.5224 5.4191
N 3.1864 4.4513 9.0856
N 6.3372 4.4679 7.2104
N 5.2631 1.5058 9.0856
N 3.2099 4.4679 5.4191
N 2.1358 1.5058 7.2943
N 2.1462 1.5132 3.5773
N 6.3268 4.4606 10.9274
Sm 3.1753 0.0116 5.4429
Sm 0.0164 0.0116 3.6335
Sm 1.0776 2.9869 5.4429
Th 4.2201 2.9753 3.6189
Th 0.0000 0.0000 0.0000
Th 3.1589 0.0000 1.8094
Th 1.0612 2.9753 1.8094
Th 4.2365 2.9869 7.2523

=====

# 10
! SmThN (PBE, optimized geometry); values from VASP
! offset from the most stable computed form = 0.128 eV per atom
! SG = Cmcm (63)
! crystal system = orthorhombic
&SYSTEM
  ibrav = 0, nat = 6, ntyp = 3
/
ATOMIC_SPECIES
Sm 150.36 Sm.upf
Th 232.04 Th.upf
N 14.01 N.upf
CELL_PARAMETERS angstrom
3.4680 0.0000 0.0000
0.0000 3.4602 0.0000
-1.7340 0.0000 12.8975
ATOMIC_POSITIONS angstrom
Sm 0.0000 2.5951 11.5163
Sm 1.7340 0.8650 1.3813
Th 1.7340 2.5951 7.8772
Th 0.0000 0.8650 5.0204
N 1.7340 2.5951 5.5040
N 0.0000 0.8650 7.3936

=====

# 11
! SmThN (PBE, optimized geometry); values from VASP
! offset from the most stable computed form = 0.692 eV per atom
! SG = F-43m (216)
! crystal system = cubic
&SYSTEM
  ibrav = 0, nat = 3, ntyp = 3
/
ATOMIC_SPECIES
Th 232.04 Th.upf
Sm 150.36 Sm.upf
N 14.01 N.upf
CELL_PARAMETERS angstrom
-4.0366 1.7190 -0.6233
-3.1606 -2.4172 -1.9508
-3.4331 -1.4890 2.3738
ATOMIC_POSITIONS angstrom
Th -5.3151 -1.0936 -0.1002
Sm 0.0000 0.0000 0.0000
N -2.6576 -0.5468 -0.0501

=====

# 12
! Sm5ThN6 (PBE, optimized geometry); values from VASP
! SG = C2/m (12)
! crystal system = monoclinic
&SYSTEM
  ibrav = 0, nat = 12, ntyp = 3
/
ATOMIC_SPECIES
Sm 150.36 Sm.upf
N 14.01 N.upf
Th 232.04 Th.upf
CELL_PARAMETERS angstrom
6.1674 0.1494 0.9364
1.5142 5.2292 3.0484
0.1036 0.0570 6.2361
ATOMIC_POSITIONS angstrom
Sm 3.8408 2.6893 1.9924
Sm 4.3782 4.4441 5.1006
Sm 3.4070 0.9915 5.1202
Sm 1.0780 3.5219 6.1937
Sm 0.5398 1.7643 3.0907
N 5.7943 4.0571 3.0058
N 2.9858 4.8733 7.2209
N 5.3314 2.2958 6.1472
N 1.8872 1.3214 0.9790
N 4.7994 0.5623 2.9999
N 2.4538 3.1397 4.0736
Th 0.0000 0.0000 0.0000

=====

# 13
! SmTh2N3 (PBE, optimized geometry); values from VASP
! offset from the most stable computed form = 0.000 eV per atom
! SG = Fddd (70)
! crystal system = orthorhombic
&SYSTEM
  ibrav = 0, nat = 24, ntyp = 3
/
ATOMIC_SPECIES
Th 232.04 Th.upf
N 14.01 N.upf
Sm 150.36 Sm.upf
CELL_PARAMETERS angstrom
-4.5572 -0.7717 -4.2814
1.7611 -5.6265 2.2214
-6.1357 3.9533 8.9132
ATOMIC_POSITIONS angstrom
Th 0.8628 -2.8115 1.1293
Th -6.6354 -2.0608 8.9752
Th -4.7754 -0.1359 0.4719
Th -5.1827 -2.8202 2.9302
Th -3.7491 0.3753 3.9230
Th -2.6681 -3.0720 0.2990
Th -7.3155 0.1184 3.1299
Th -6.2637 0.6271 6.5542
N -7.8675 1.8138 4.9815
N -4.7330 -0.5523 8.2034
N -2.0772 -4.7531 -1.5303
N -4.2890 2.0695 5.7620
N -0.7189 -1.6451 -0.5297
N -6.7246 -1.5627 1.3006
N -4.6042 -4.5440 1.1309
N -4.1849 -1.8608 -1.3400
N -5.7117 -1.0682 4.7026
N -3.2586 -1.3470 2.1109
N -5.3664 1.5453 2.3012
N -1.0782 -4.2904 1.8614
Sm -1.2524 0.1254 1.3105
Sm -1.6339 -2.5615 3.7417
Sm -7.6793 -2.5702 5.5427
Sm -4.1388 -2.3107 6.3628

=====

# 14
! SmThTiN3 (PBE, optimized geometry); values from VASP
! SG = P2_1/m (11)
! crystal system = monoclinic
&SYSTEM
  ibrav = 0, nat = 12, ntyp = 4
/
ATOMIC_SPECIES
N 14.01 N.upf
Th 232.04 Th.upf
Ti 47.87 Ti.upf
Sm 150.36 Sm.upf
CELL_PARAMETERS angstrom
-1.7152 1.6926 2.7064
-5.9027 0.6827 -4.1679
-2.0867 -7.1643 3.1583
ATOMIC_POSITIONS angstrom
N -6.3286 -2.3173 -1.3485
N -3.8685 0.6363 0.7894
N -5.8360 -5.4253 0.9075
N -6.8460 0.7945 -1.1966
N -3.3760 -2.4717 3.0453
N -2.8586 -5.5835 2.8934
Th -5.1770 -4.4210 3.1230
Th -4.5275 -0.3680 -1.4262
Ti -7.5092 -0.9780 -0.5083
Ti -2.1953 -3.8110 2.2052
Sm -1.6293 -0.5034 0.4952
Sm -8.0752 -4.2856 1.2016

=====

# 15
! Sm2ThTlN (PBE, optimized geometry); values from VASP
! SG = P4/mmm (123)
! crystal system = tetragonal
&SYSTEM
  ibrav = 0, nat = 5, ntyp = 4
/
ATOMIC_SPECIES
Sm 150.36 Sm.upf
Th 232.04 Th.upf
Tl 204.38 Tl.upf
N 14.01 N.upf
CELL_PARAMETERS angstrom
4.8873 0.0000 0.0000
0.0000 5.0266 0.0000
0.0000 0.0000 5.0266
ATOMIC_POSITIONS angstrom
Sm 0.0000 0.0000 2.5133
Sm 0.0000 2.5133 0.0000
Th 2.4436 0.0000 0.0000
Tl 2.4436 2.5133 2.5133
N 0.0000 0.0000 0.0000

=====

# 16
! Sm2TmThN4 (PBE, optimized geometry); values from VASP
! SG = P2/m (10)
! crystal system = monoclinic
&SYSTEM
  ibrav = 0, nat = 8, ntyp = 4
/
ATOMIC_SPECIES
Sm 150.36 Sm.upf
N 14.01 N.upf
Th 232.04 Th.upf
Tm 168.93 Tm.upf
CELL_PARAMETERS angstrom
-2.3673 0.6818 -2.5889
1.1583 -5.5039 -2.5086
-4.6117 -0.5439 4.0737
ATOMIC_POSITIONS angstrom
Sm -1.7267 -3.0239 0.7825
Sm -3.4895 0.0689 0.7424
N -3.8213 -4.2328 -0.0871
N -1.9994 -1.1333 -0.9368
N -0.2400 -4.2633 -0.9033
N -3.2134 -1.7845 2.4684
Th -0.6045 -2.4111 -2.5488
Tm 0.0000 0.0000 0.0000

=====

# 17
! SmTmTh2N4 (PBE, optimized geometry); values from VASP
! SG = P2/m (10)
! crystal system = monoclinic
&SYSTEM
  ibrav = 0, nat = 8, ntyp = 4
/
ATOMIC_SPECIES
N 14.01 N.upf
Sm 150.36 Sm.upf
Th 232.04 Th.upf
Tm 168.93 Tm.upf
CELL_PARAMETERS angstrom
-1.7743 -2.2792 -2.1379
5.2727 -1.2029 -3.0936
-0.5845 -3.9610 4.7080
ATOMIC_POSITIONS angstrom
N 0.9232 -3.3007 2.7527
N 3.7649 -1.8632 -1.1383
N 2.5889 -4.9998 0.1616
N 0.3250 -2.4433 -0.6851
Sm 0.0000 0.0000 0.0000
Th -1.1794 -3.1201 1.2850
Th 2.3441 -2.5820 0.8072
Tm 1.7492 -1.7410 -2.6157

=====

# 18
! Sm2Th3UN6 (PBE, optimized geometry); values from VASP
! SG = C2/m (12)
! crystal system = monoclinic
&SYSTEM
  ibrav = 0, nat = 12, ntyp = 4
/
ATOMIC_SPECIES
N 14.01 N.upf
Sm 150.36 Sm.upf
Th 232.04 Th.upf
U 238.03 U.upf
CELL_PARAMETERS angstrom
-3.1653 0.3749 -5.3221
6.1103 -1.0664 -0.1085
-1.9866 -5.5616 1.9969
ATOMIC_POSITIONS angstrom
N -1.1948 -1.2207 -1.5794
N 2.1531 -5.0324 -1.8542
N -0.8401 -4.3811 0.2834
N -0.6719 -4.5934 -3.4421
N 1.6302 -1.6597 0.0085
N 1.7984 -1.8720 -3.7170
Sm 3.0206 -0.5863 -1.8451
Sm -0.0756 -0.1052 -3.5854
Th 3.5538 -3.6043 0.0114
Th 0.4792 -3.1265 -1.7168
Th -2.5955 -2.6488 -3.4450
U 0.0000 0.0000 0.0000

=====

# 19
! Sm4Th3UN8 (PBE, optimized geometry); values from VASP
! SG = R-3m (166)
! crystal system = trigonal
&SYSTEM
  ibrav = 0, nat = 16, ntyp = 4
/
ATOMIC_SPECIES
Sm 150.36 Sm.upf
N 14.01 N.upf
Th 232.04 Th.upf
U 238.03 U.upf
CELL_PARAMETERS angstrom
-6.8689 2.0979 -0.6850
0.2759 -1.3946 -7.0369
1.7507 -5.1124 4.7802
ATOMIC_POSITIONS angstrom
Sm 0.0000 0.0000 0.0000
Sm 0.8754 -2.5562 2.3901
Sm -3.4345 1.0490 -0.3425
Sm -2.5591 -1.5072 2.0476
N -5.1946 1.2207 -2.4158
N -0.5809 -2.9056 -3.0734
N -3.3084 -4.5117 -0.8911
N -4.2613 -1.5034 0.1317
N -4.0618 -1.9921 -3.3650
N 0.3523 -5.6298 -0.5259
N -1.5338 0.1027 -2.0506
N -0.7804 -2.4170 0.4233
Th -2.4211 -2.2045 -1.4709
Th 1.0133 -3.2535 -1.1284
Th -3.2965 0.3517 -3.8610
U 0.1380 -0.6973 -3.5185

=====

# 20
! SmTh2UN4 (PBE, optimized geometry); values from VASP
! SG = P2/m (10)
! crystal system = monoclinic
&SYSTEM
  ibrav = 0, nat = 8, ntyp = 4
/
ATOMIC_SPECIES
N 14.01 N.upf
Th 232.04 Th.upf
Sm 150.36 Sm.upf
U 238.03 U.upf
CELL_PARAMETERS angstrom
-3.1255 -0.9925 1.4298
1.2006 -5.8716 -1.4513
2.2198 1.2011 5.6859
ATOMIC_POSITIONS angstrom
N -0.7918 -1.5552 1.6651
N 1.4400 -4.2432 0.2022
N 1.9804 -0.4272 4.0324
N 1.0867 -4.1078 3.9994
Th 1.7102 -2.3352 2.1173
Th -0.4529 0.1043 3.5579
Sm -0.9624 -3.4320 -0.0107
U 0.0000 0.0000 0.0000

=====

# 21
! Sm3Th3UN8 (PBE, optimized geometry); values from VASP
! SG = R-3m (166)
! crystal system = trigonal
&SYSTEM
  ibrav = 0, nat = 15, ntyp = 4
/
ATOMIC_SPECIES
N 14.01 N.upf
Th 232.04 Th.upf
Sm 150.36 Sm.upf
U 238.03 U.upf
CELL_PARAMETERS angstrom
7.2323 0.0000 0.0000
-3.6162 6.2635 -0.0219
0.0000 -4.1554 5.8093
ATOMIC_POSITIONS angstrom
N 2.0019 3.2579 4.1119
N 0.0000 -0.2098 4.1243
N 0.0000 2.0929 1.4832
N -2.0019 3.2579 4.1119
N 5.6181 -1.1498 1.6755
N 3.6162 0.0152 4.3042
N 3.6162 2.3179 1.6631
N 1.6143 -1.1498 1.6755
Th 3.6162 -2.0777 2.9046
Th 1.8081 1.0540 2.8937
Th -1.8081 1.0540 2.8937
Sm 0.0000 0.0000 0.0000
Sm 1.8081 3.1317 -0.0109
Sm -1.8081 3.1317 -0.0109
U 0.0000 -2.0777 2.9046

=====

# 22
! Sm2ThUN4 (PBE, optimized geometry); values from VASP
! SG = P2/m (10)
! crystal system = monoclinic
&SYSTEM
  ibrav = 0, nat = 8, ntyp = 4
/
ATOMIC_SPECIES
Sm 150.36 Sm.upf
N 14.01 N.upf
Th 232.04 Th.upf
U 238.03 U.upf
CELL_PARAMETERS angstrom
-2.5473 -2.0490 1.4212
3.5631 -0.9826 4.9698
-3.4722 4.9733 0.9467
ATOMIC_POSITIONS angstrom
Sm -3.0097 1.4622 1.1839
Sm 0.0454 1.9953 2.9582
N -1.8646 3.6199 1.8770
N 1.9554 0.3708 4.0395
N -1.2522 -0.1480 2.0128
N -1.2042 2.0897 5.3249
Th 0.5079 -1.5158 3.1955
U 0.0000 0.0000 0.0000

=====

no.,formation energy (no corrections) (eV per atom),uncorrected energy (eV/atom)
1,-1.276,-7.927
2,-1.267,-8.689
3,-1.544,-8.336
4,-1.403,-9.125
5,-0.854,-7.675
6,-1.146,-8.182
7,-1.322,-7.944
8,-1.337,-8.559
9,-1.554,-8.920
10,-0.726,-7.548
11,-0.162,-6.984
12,-1.539,-8.286
13,-1.558,-8.981
14,-1.304,-8.806
15,-0.801,-6.311
16,-1.600,-8.429
17,-1.591,-8.757
18,-1.518,-9.263
19,-1.524,-8.963
20,-1.483,-9.502
21,-1.469,-9.089
22,-1.492,-9.173